1.
First-principles (GGA-PBE) data for a relaxed MnZn2Cr crystal, as listed in Alexandria.

Calculated values
* crystal system: monoclinic
* volume: 12.93 Å³ per atom
* theoretical density: 7.63 g cm⁻³
* formation energy: 0.56 eV/f.u.
* DOS(E_F): 2.8 states/eV per cell
* SG: Pm

Geometry as POSCAR:
```
MnZn2Cr
1.0
-2.137 -3.292 1.255
1.289 -1.479 -1.685
3.640 -1.210 3.025
Cr Mn Zn
1 1 2
Cartesian
2.566 -1.431 0.618
2.532 -3.584 1.677
3.704 -1.313 2.867
0.094 -2.209 1.129
```

***

2.
First-principles (GGA-PBE) data for a relaxed Zr2Be2Os crystal, as listed in Alexandria.

Calculated values
* crystal system: tetragonal
* volume: 14.95 Å³ per atom
* theoretical density: 8.68 g cm⁻³
* formation energy: -1.62 eV/f.u.
* DOS(E_F): 7.1 states/eV per cell
* SG: P4/mbm

Geometry as POSCAR:
```
Zr2Be2Os
1.0
-2.999 -1.540 -5.576
1.232 -6.307 1.079
-3.055 -0.301 1.726
Os Zr Be
2 4 4
Cartesian
0.000 0.000 0.000
-0.883 -3.923 -2.249
-2.561 -6.364 -2.052
-1.231 -4.726 0.587
-3.590 -3.422 -3.359
-2.260 -1.784 -0.719
-0.060 -6.156 -1.181
-1.707 -1.691 -3.316
0.119 -2.594 -0.242
-1.886 -5.253 -4.256
```

***

3.
First-principles (GGA-PBE) data for a relaxed Mg6ZnPb3 crystal, as listed in Alexandria.

Calculated values
* crystal system: monoclinic
* volume: 24.08 Å³ per atom
* theoretical density: 5.74 g cm⁻³
* formation energy: -0.31 eV/f.u.
* DOS(E_F): 6.7 states/eV per cell
* SG: P2_1/m

Geometry as POSCAR:
```
Mg6ZnPb3
1.0
-2.318 -4.379 -1.136
7.819 -4.454 1.217
-5.965 0.690 9.512
Mg Pb Zn
12 6 2
Cartesian
-0.033 -6.497 8.056
-0.431 -1.646 1.538
1.267 -6.398 5.020
-4.825 -3.410 5.931
-2.988 -5.071 8.585
-5.173 -0.791 7.918
4.710 -7.352 1.676
4.362 -4.733 3.662
-1.730 -1.746 4.573
0.990 -3.796 6.930
2.524 -3.073 1.009
-1.454 -4.347 2.664
1.960 -5.987 2.020
1.158 -3.113 3.951
-0.266 -3.923 9.980
-2.424 -2.157 7.573
-0.198 -4.220 -0.387
-1.622 -5.030 5.642
3.554 -5.019 6.410
-4.018 -3.125 3.183
```

***

4.
First-principles (GGA-PBE) data for a relaxed K2GeBO4 crystal, as listed in Alexandria.

Calculated values
* total DFT energy (no corrections): -5.838 eV/atom
* crystal system: orthorhombic
* volume: 17.25 Å³ per atom
* theoretical density: 2.71 g cm⁻³
* DOS(E_F): 2.8 states/eV per cell
* SG: Fddd

Geometry as POSCAR:
```
K2GeBO4
1.0
-2.390 -4.228 -0.333
1.619 -4.080 4.597
-8.222 1.416 5.440
Ge K O B
2 4 8 2
Cartesian
-1.195 -2.114 -0.167
-3.899 -2.389 4.935
-5.795 0.197 3.504
-7.521 -3.284 6.705
-2.667 -5.722 2.832
-4.817 -3.009 1.603
-7.651 0.025 5.596
0.147 -4.281 4.316
-5.666 -3.112 4.613
-3.622 -4.302 5.050
-2.131 -3.417 0.916
-8.352 -6.111 8.580
-5.736 -5.284 5.893
-2.963 -1.086 3.853
0.000 0.000 0.000
-5.094 -4.503 4.769
```

***

5.
First-principles (GGA-PBE) data for a relaxed Na2HfNi crystal, as listed in Alexandria.

Calculated values
* crystal system: tetragonal
* volume: 23.45 Å³ per atom
* theoretical density: 5.01 g cm⁻³
* formation energy: 3.36 eV/f.u.
* DOS(E_F): 9.2 states/eV per cell
* SG: I-42d

Geometry as POSCAR:
```
Na2HfNi
1.0
-8.636 0.274 -0.911
-0.931 -0.739 8.607
-4.728 2.242 4.066
Na Hf Ni
4 2 2
Cartesian
-11.853 1.326 9.182
-3.447 0.152 6.218
-7.199 1.456 6.538
-6.092 0.620 1.587
0.000 0.000 0.000
-9.074 1.142 3.502
-5.222 0.636 8.261
-4.784 -0.233 3.848
```

***

6.
First-principles (GGA-PBE) data for a relaxed Tb5BiOs2 crystal, as listed in Alexandria.

Calculated values
* crystal system: tetragonal
* volume: 26.43 Å³ per atom
* theoretical density: 10.87 g cm⁻³
* formation energy: -3.24 eV/f.u.
* DOS(E_F): 12.6 states/eV per cell
* SG: I4/mcm

Geometry as POSCAR:
```
Tb5BiOs2
1.0
-3.628 4.034 -5.590
5.327 -2.368 -5.166
-4.763 -6.405 3.896
Os Tb Bi
4 10 2
Cartesian
3.275 -0.585 -6.450
1.406 -0.285 -2.642
0.294 1.950 -8.113
-1.575 2.251 -4.306
-1.637 -4.308 -3.746
-4.159 -3.946 1.552
1.915 -2.369 -4.652
-1.426 -0.431 -3.113
-2.245 1.143 -6.872
0.000 0.000 0.000
1.096 -0.794 -8.411
-4.978 -2.371 -2.208
0.850 0.833 -5.378
-0.818 -5.883 0.013
-1.957 -2.786 -0.741
-1.107 -1.953 -6.119
```

***

7.
First-principles (GGA-PBE) data for a relaxed Rb3Mg2HgCl9 crystal, as listed in Alexandria.

Calculated values
* total DFT energy (no corrections): -3.170 eV/atom
* crystal system: trigonal
* volume: 27.52 Å³ per atom
* theoretical density: 3.32 g cm⁻³
* DOS(E_F): 0.0 states/eV per cell
* SG: P-3m1

Geometry as POSCAR:
```
Rb3Mg2HgCl9
1.0
7.288 0.000 0.000
-3.644 6.311 0.000
0.000 0.000 8.975
Mg Cl Rb Hg
2 9 3 1
Cartesian
0.000 4.207 1.404
3.644 2.104 7.571
1.822 3.156 0.000
-1.760 5.224 2.913
3.644 0.000 0.000
-1.822 3.156 0.000
1.884 1.087 6.062
3.644 4.136 6.062
0.000 2.175 2.913
5.404 1.087 6.062
1.760 5.224 2.913
0.000 0.000 0.000
0.000 4.207 5.964
3.644 2.104 3.011
0.000 0.000 4.488
```

***

8.
First-principles (GGA-PBE) data for a relaxed TbPr6Nd2Sm3 crystal, as listed in Alexandria.

Calculated values
* crystal system: monoclinic
* volume: 35.09 Å³ per atom
* theoretical density: 6.88 g cm⁻³
* formation energy: 0.14 eV/f.u.
* DOS(E_F): 17.6 states/eV per cell
* SG: C2/m

Geometry as POSCAR:
```
TbPr6Nd2Sm3
1.0
-3.056 -3.318 -4.508
6.372 0.267 -0.002
-0.699 -8.735 8.411
Pr Nd Sm Tb
6 2 3 1
Cartesian
2.315 -4.479 -1.280
0.302 -7.307 5.180
-0.914 -3.545 0.232
2.219 -2.354 1.729
0.397 -9.433 2.171
3.531 -8.241 3.669
3.230 -0.928 -1.504
0.086 -2.123 -3.007
4.452 -4.698 3.453
1.308 -5.893 1.950
-1.835 -7.088 0.448
0.000 0.000 0.000
```